PmTm3Pt2 after structural relaxation. Source: the Alexandria database, functional PBE.

Geometry as POSCAR:
```
PmTm3Pt2
1.0
5.092 0.000 0.000
-2.546 9.139 -0.503
0.000 -4.647 6.738
Tm Pt Pm
6 4 2
direct
0.685 0.370 0.369 Tm
0.378 0.756 0.274 Tm
0.934 0.868 0.622 Tm
0.066 0.132 0.378 Tm
0.622 0.244 0.726 Tm
0.315 0.630 0.631 Tm
0.217 0.433 0.797 Pt
0.504 0.008 0.833 Pt
0.783 0.567 0.203 Pt
0.496 0.992 0.167 Pt
0.851 0.702 0.945 Pm
0.149 0.298 0.055 Pm
```

Properties
Energy above the most stable polymorph in this dataset   160.5 meV per atom
DOS at the Fermi energy   0.76 states/eV per atom

Pm3Tm4Pt4 after structural relaxation. Source: the Alexandria database, functional PBE.

Geometry as POSCAR:
```
Pm3Tm4Pt4
1.0
4.556 0.000 0.000
0.000 7.791 0.000
-2.278 -3.896 7.726
Pt Tm Pm
4 4 3
direct
0.500 0.812 0.000 Pt
0.210 0.710 0.420 Pt
0.790 0.290 0.580 Pt
0.500 0.188 0.000 Pt
0.672 0.881 0.344 Tm
0.328 0.537 0.656 Tm
0.328 0.119 0.656 Tm
0.672 0.463 0.344 Tm
0.102 0.102 0.205 Pm
0.000 0.500 0.000 Pm
0.898 0.898 0.795 Pm
```

Properties
E_tot   -6.046 eV/atom
DOS at the Fermi energy   0.99 states/eV per atom

PmTm2Pt3 after structural relaxation. Source: the Alexandria database, functional PBE.

Geometry as POSCAR:
```
PmTm2Pt3
1.0
-0.842 -3.798 1.266
5.161 -0.301 2.531
-4.540 4.284 3.222
Pm Pt Tm
1 3 2
direct
0.000 0.500 0.000 Pm
0.675 0.675 0.349 Pt
0.000 0.000 0.000 Pt
0.325 0.325 0.651 Pt
0.335 0.835 0.671 Tm
0.665 0.165 0.329 Tm
```

Properties
E_tot   -6.422 eV/atom
DOS at the Fermi energy   0.73 states/eV per atom

Pm2Tm2Pt3 after structural relaxation. Source: the Alexandria database, functional PBE.

Geometry as POSCAR:
```
Pm2Tm2Pt3
1.0
-6.364 1.485 3.899
-1.588 -4.744 -5.735
5.112 -3.228 4.622
Tm Pt Pm
4 6 4
direct
0.375 0.500 0.000 Tm
0.125 0.625 0.625 Tm
0.500 0.875 0.500 Tm
0.000 0.000 0.875 Tm
0.364 0.114 0.750 Pt
0.136 0.386 0.250 Pt
0.614 0.750 0.864 Pt
0.750 0.636 0.386 Pt
0.886 0.250 0.636 Pt
0.250 0.864 0.114 Pt
0.872 0.500 0.000 Pm
0.000 0.000 0.372 Pm
0.628 0.128 0.128 Pm
0.500 0.372 0.500 Pm
```

Properties
E_tot   -6.291 eV/atom
DOS at the Fermi energy   0.62 states/eV per atom